A plane-wave DFT calculation with SCAN was carried out for Be2ReSnMo at its PBEsol-relaxed geometry.

Unit cell a=4.2060 b=4.2060 c=5.0765 alpha=90.00 beta=90.00 gamma=90.00
With the nearest neighbours (Å) after each atom.
Sites, in units of the cell vectors:
Be 0.0000 0.5000 0.0000  2 Sn 2.10
Be 0.5000 0.0000 0.0000  2 Sn 2.10
Sn 0.0000 0.0000 0.0000  4 Be 2.10
Re 0.0000 0.0000 0.5000  2 Sn 2.54
Mo 0.5000 0.5000 0.5000  4 Re 2.97, 8 Be 3.30

Values from the calculation:
- Total energy: -140.92 eV per cell
- DFT formation energy: 1.938 eV/atom